1.
Material: MnSe
Method: DFT, PBE-GGA
State: relaxed

Summary:
ΔE_f (raw) in eV/atom: -0.020
Fermi-level density of states in states/eV/cell: 1.36

a b c (Å): 3.025 3.025 9.208
angles (deg): 90.00 90.00 120.00
Positions (direct):
Se 0.667 0.333 0.857
Mn 0.000 0.000 0.029
Se 0.000 0.000 0.393
Mn 0.667 0.333 0.221


2.
Material: ScIr
Method: DFT, PBE-GGA
State: relaxed

Summary:
Formation energy from the elements in eV/atom: -0.509
Fermi-level density of states in states/eV/cell: 4.73

a b c (Å): 3.122 3.122 8.293
angles (deg): 90.00 90.00 120.00
Positions (direct):
Sc 0.000 0.000 0.500
Ir 0.667 0.333 0.750
Sc 0.000 0.000 0.000
Ir 0.333 0.667 0.250


3.
Material: Nd2ScSn3
Method: DFT, PBE-GGA
State: relaxed

Summary:
Formation energy from the elements in eV/atom: -0.549
Fermi-level density of states in states/eV/cell: 4.98

a b c (Å): 5.074 6.268 6.896
angles (deg): 117.03 111.59 90.00
Positions (direct):
Nd 0.680 0.180 0.359
Sc 0.000 0.500 0.000
Sn 0.000 0.000 0.000
Sn 0.639 0.639 0.277
Nd 0.320 0.820 0.641
Sn 0.361 0.361 0.723


4.
Material: Fe2CoOs
Method: DFT, PBE-GGA
State: relaxed

Summary:
Formation energy from the elements in eV/atom: 0.226
Fermi-level density of states in states/eV/cell: 7.68

a b c (Å): 4.120 4.120 4.120
angles (deg): 60.00 60.00 60.00
Positions (direct):
Fe 0.000 0.000 0.000
Os 0.750 0.750 0.750
Fe 0.250 0.250 0.250
Co 0.500 0.500 0.500


| no. | ρ (g/cm³) | spin magnetization (μB/cell) |
| --- | --- | --- |
| 1 | 6.1 | 0.0 |
| 2 | 11.2 | 0.0 |
| 3 | 6.4 | 0.0 |
| 4 | 12.1 | 7.2 |